Density functional theory data (PBE-GGA) for a relaxed structure of Ho2I3O.

Output
As for the energy relative to the elements, uncorrected: -1.97 eV/atom. As for the raw total energy: -5.10 eV/atom.

abc: 4.0422 10.8246 11.4391
angles: 112.21 90.00 100.76
Fractional positions:
Ho 0.0717 0.1434 0.7374
Ho 0.9283 0.8566 0.2626
Ho 0.4318 0.8636 0.5291
Ho 0.5682 0.1364 0.4709
I 0.9282 0.8564 0.7406
I 0.0718 0.1436 0.2594
I 0.3632 0.7265 0.0451
I 0.6368 0.2735 0.9549
I 0.1849 0.3699 0.6329
I 0.8151 0.6301 0.3671
O 0.5432 0.0863 0.6421
O 0.4568 0.9137 0.3579